# 1
# La3Pm3Ho2, optimized geometry, DFT PBE
# * energy relative to the elements: 23 meV/atom
data_La3Pm3Ho2
_space_group_name_H-M_alt 'I m m m'
_space_group_IT_number 71
_space_group_name_Hall '-I 2 2'
_cell_length_a 5.166
_cell_length_b 5.190
_cell_length_c 20.614
_cell_angle_alpha 90.00
_cell_angle_beta 90.00
_cell_angle_gamma 90.00
loop_
_atom_site_label
_atom_site_type_symbol
_atom_site_fract_x
_atom_site_fract_y
_atom_site_fract_z
La1 La 0.000 0.000 0.000
La2 La 0.000 0.500 0.127
Pm1 Pm 0.000 0.000 0.500
Pm2 Pm 0.000 0.500 0.371
Ho1 Ho 0.000 0.000 0.249

# 2
# La4Pm2Ho7, optimized geometry, DFT PBE
# * energy relative to the elements: 143 meV/atom
data_La4Pm2Ho7
_space_group_name_H-M_alt 'P -3 1 m'
_space_group_IT_number 162
_space_group_name_Hall '-P 3 2'
_cell_length_a 6.1518
_cell_length_b 6.1518
_cell_length_c 13.5296
_cell_angle_alpha 90.00
_cell_angle_beta 90.00
_cell_angle_gamma 120.00
loop_
_atom_site_label
_atom_site_type_symbol
_atom_site_fract_x
_atom_site_fract_y
_atom_site_fract_z
La1 La 0.0000 0.0000 0.1105
La2 La 0.3333 0.6667 0.0000
Pm1 Pm 0.3333 0.6667 0.5000
Ho1 Ho 0.0000 0.0000 0.5000
Ho2 Ho 0.0000 0.3527 0.7108

# 3
# LaPm12Ho7, optimized geometry, DFT PBE
# * energy relative to the elements: 155 meV/atom
data_LaPm12Ho7
_space_group_name_H-M_alt 'R -3'
_space_group_IT_number 148
_space_group_name_Hall '-R 3'
_cell_length_a 15.2305
_cell_length_b 15.2305
_cell_length_c 10.1286
_cell_angle_alpha 90.00
_cell_angle_beta 90.00
_cell_angle_gamma 120.00
loop_
_atom_site_label
_atom_site_type_symbol
_atom_site_fract_x
_atom_site_fract_y
_atom_site_fract_z
La1 La 0.0000 0.0000 0.0000
Pm1 Pm 0.0452 0.2013 0.2524
Pm2 Pm 0.0466 0.2474 0.5775
Ho1 Ho 0.0000 0.0000 0.5000
Ho2 Ho 0.0660 0.2465 0.9253

# 4
# La11Pm4Ho9, optimized geometry, DFT PBE
# * energy relative to the elements: 68 meV/atom
data_La11Pm4Ho9
_space_group_name_H-M_alt 'C m m m'
_space_group_IT_number 65
_space_group_name_Hall '-C 2 2'
_cell_length_a 17.176
_cell_length_b 25.941
_cell_length_c 3.738
_cell_angle_alpha 90.00
_cell_angle_beta 90.00
_cell_angle_gamma 90.00
loop_
_atom_site_label
_atom_site_type_symbol
_atom_site_fract_x
_atom_site_fract_y
_atom_site_fract_z
La1 La 0.000 0.000 0.000
La2 La 0.000 0.159 0.000
La3 La 0.000 0.367 0.000
La4 La 0.209 0.500 0.000
La5 La 0.226 0.181 0.000
Pm1 Pm 0.156 0.399 0.500
Ho1 Ho 0.000 0.500 0.500
Ho2 Ho 0.101 0.265 0.500
Ho3 Ho 0.139 0.073 0.500

# 5
# La12PmHo7, optimized geometry, DFT PBE
# * energy relative to the elements: 203 meV/atom
data_La12PmHo7
_space_group_name_H-M_alt 'R -3 m'
_space_group_IT_number 166
_space_group_name_Hall '-R 3 2"'
_cell_length_a 19.5943
_cell_length_b 19.5943
_cell_length_c 6.3728
_cell_angle_alpha 90.00
_cell_angle_beta 90.00
_cell_angle_gamma 120.00
loop_
_atom_site_label
_atom_site_type_symbol
_atom_site_fract_x
_atom_site_fract_y
_atom_site_fract_z
La1 La 0.0000 0.4077 0.0000
La2 La 0.0965 0.5483 0.4787
Pm1 Pm 0.0000 0.0000 0.5000
Ho1 Ho 0.0000 0.0000 0.0000
Ho2 Ho 0.0828 0.1656 0.3021

# 6
# La3Pm2Ho6, optimized geometry, DFT PBE
# * energy relative to the elements: 191 meV/atom
data_La3Pm2Ho6
_space_group_name_H-M_alt 'C 1 2/m 1'
_space_group_IT_number 12
_cell_length_a 6.207
_cell_length_b 10.783
_cell_length_c 11.684
_cell_angle_alpha 90.00
_cell_angle_beta 100.33
_cell_angle_gamma 90.00
loop_
_space_group_symop_operation_xyz
'x,y,z'
'-x,-y,-z'
'-x,y,-z'
'x,-y,z'
'x+1/2,y+1/2,z'
'-x+1/2,-y+1/2,-z'
'-x+1/2,y+1/2,-z'
'x+1/2,-y+1/2,z'
loop_
_atom_site_label
_atom_site_type_symbol
_atom_site_fract_x
_atom_site_fract_y
_atom_site_fract_z
La1 La 0.000 0.000 0.000
La2 La 0.000 0.336 0.000
Pm1 Pm 0.000 0.166 0.500
Ho1 Ho 0.248 0.334 0.747
Ho2 Ho 0.250 0.000 0.747

# 7
# LaPm2Ho, optimized geometry, DFT PBE
# * energy relative to the elements: 119 meV/atom
data_LaPm2Ho
_space_group_name_H-M_alt 'P 4/m m m'
_space_group_IT_number 123
_space_group_name_Hall '-P 4 2'
_cell_length_a 4.278
_cell_length_b 4.278
_cell_length_c 7.518
_cell_angle_alpha 90.00
_cell_angle_beta 90.00
_cell_angle_gamma 90.00
loop_
_atom_site_label
_atom_site_type_symbol
_atom_site_fract_x
_atom_site_fract_y
_atom_site_fract_z
La1 La 0.000 0.000 0.000
Pm1 Pm 0.500 0.500 0.263
Ho1 Ho 0.000 0.000 0.500

# 8
# LaPm5Ho3, optimized geometry, DFT PBE
# * energy relative to the elements: 267 meV/atom
data_LaPm5Ho3
_space_group_name_H-M_alt 'I 4/m c m'
_space_group_IT_number 140
_space_group_name_Hall '-I 4 2c'
_cell_length_a 8.610
_cell_length_b 8.610
_cell_length_c 16.433
_cell_angle_alpha 90.00
_cell_angle_beta 90.00
_cell_angle_gamma 90.00
loop_
_atom_site_label
_atom_site_type_symbol
_atom_site_fract_x
_atom_site_fract_y
_atom_site_fract_z
La1 La 0.000 0.500 0.250
Pm1 Pm 0.000 0.000 0.000
Pm2 Pm 0.196 0.304 0.138
Ho1 Ho 0.000 0.000 0.250
Ho2 Ho 0.124 0.376 0.500

# 9
# LaPm2Ho, optimized geometry, DFT PBE
# * energy relative to the elements: 150 meV/atom
data_LaPm2Ho
_space_group_name_H-M_alt 'F m -3 m'
_space_group_IT_number 225
_space_group_name_Hall '-F 4 2 3'
_cell_length_a 8.214
_cell_length_b 8.214
_cell_length_c 8.214
_cell_angle_alpha 90.00
_cell_angle_beta 90.00
_cell_angle_gamma 90.00
loop_
_atom_site_label
_atom_site_type_symbol
_atom_site_fract_x
_atom_site_fract_y
_atom_site_fract_z
La1 La 0.000 0.000 0.000
Pm1 Pm 0.250 0.250 0.250
Ho1 Ho 0.000 0.000 0.500

# 10
# LaPm2Ho6, optimized geometry, DFT PBE
# * energy relative to the elements: 310 meV/atom
data_LaPm2Ho6
_space_group_name_H-M_alt 'R 3 m'
_space_group_IT_number 160
_space_group_name_Hall 'R 3 -2"'
_cell_length_a 7.4048
_cell_length_b 7.4048
_cell_length_c 19.0717
_cell_angle_alpha 90.00
_cell_angle_beta 90.00
_cell_angle_gamma 120.00
loop_
_atom_site_label
_atom_site_type_symbol
_atom_site_fract_x
_atom_site_fract_y
_atom_site_fract_z
La1 La 0.0000 0.0000 0.0000
Pm1 Pm 0.0000 0.0000 0.5610
Pm2 Pm 0.0000 0.0000 0.7374
Ho1 Ho 0.1753 0.3506 0.8820
Ho2 Ho 0.1880 0.3759 0.0795

# 11
# LaPm2Ho8, optimized geometry, DFT PBE
# * energy relative to the elements: 144 meV/atom
data_LaPm2Ho8
_space_group_name_H-M_alt 'C 1 2/m 1'
_space_group_IT_number 12
_cell_length_a 19.117
_cell_length_b 7.018
_cell_length_c 5.538
_cell_angle_alpha 90.00
_cell_angle_beta 92.89
_cell_angle_gamma 90.00
loop_
_space_group_symop_operation_xyz
'x,y,z'
'-x,-y,-z'
'-x,y,-z'
'x,-y,z'
'x+1/2,y+1/2,z'
'-x+1/2,-y+1/2,-z'
'-x+1/2,y+1/2,-z'
'x+1/2,-y+1/2,z'
loop_
_atom_site_label
_atom_site_type_symbol
_atom_site_fract_x
_atom_site_fract_y
_atom_site_fract_z
La1 La 0.000 0.000 0.000
Pm1 Pm 0.215 0.500 0.249
Ho1 Ho 0.046 0.500 0.239
Ho2 Ho 0.132 0.267 0.732
Ho3 Ho 0.188 0.000 0.234

# 12
# La2Pm9Ho, optimized geometry, DFT PBE
# * energy relative to the elements: 59 meV/atom
data_La2Pm9Ho
_space_group_name_H-M_alt 'P 6/m m m'
_space_group_IT_number 191
_space_group_name_Hall '-P 6 2'
_cell_length_a 11.5696
_cell_length_b 11.5696
_cell_length_c 3.5549
_cell_angle_alpha 90.00
_cell_angle_beta 90.00
_cell_angle_gamma 120.00
loop_
_atom_site_label
_atom_site_type_symbol
_atom_site_fract_x
_atom_site_fract_y
_atom_site_fract_z
La1 La 0.3333 0.6667 0.0000
Pm1 Pm 0.0000 0.5000 0.0000
Pm2 Pm 0.1697 0.3395 0.5000
Ho1 Ho 0.0000 0.0000 0.0000

Respective total magnetic moment values: 0.00, 0.00, 0.00, 0.01, 0.00, 0.00, 0.00, 0.06, 5.93, 0.00, 0.00, 0.00 μB per cell.